[1]
First-principles (GGA-PBE) data for a geometry-optimized FeTcGeMo structure, as listed in the Alexandria database.

Values from the calculation:
energy of formation from the pure elements: -0.008 eV/atom

a = 4.2985 Å, b = 4.2985 Å, c = 4.2985 Å
α = 60.00°, β = 60.00°, γ = 60.00°
Positions (direct):
Mo  0.7500  0.7500  0.7500
Fe  0.0000  0.0000  0.0000
Ge  0.5000  0.5000  0.5000
Tc  0.2500  0.2500  0.2500

[2]
First-principles (GGA-PBE) data for a geometry-optimized Na2DyGaO4 structure, as listed in the Alexandria database.

a = 3.2643 Å, b = 5.5459 Å, c = 5.8508 Å
α = 108.77°, β = 90.00°, γ = 90.00°
Positions (direct):
Na  0.5000  0.0000  0.5000
Na  0.0000  0.5000  0.5000
Ga  0.0000  0.0000  0.0000
O  0.0000  0.2406  0.7920
O  0.5000  0.2161  0.2060
O  0.0000  0.7594  0.2080
O  0.5000  0.7839  0.7940
Dy  0.5000  0.5000  0.0000

no.,uncorrected energy (eV per atom),density of states at the Fermi level (states/eV/f.u.)
1,-8.58,2.30
2,-5.98,0.00